VASP calculation (meta-GGA SCAN) on SiRhPb2 at its PBEsol-relaxed geometry.

Unit cell a=3.5676 b=3.5676 c=8.0110 alpha=102.62 beta=102.62 gamma=59.53
Atoms (fractional coordinates):
Si (0.0000, 0.0000, 0.0000)
Rh (0.5000, 0.5000, 0.5000)
Pb (0.2446, 0.2446, 0.7349)
Pb (0.7554, 0.7554, 0.2651)

Total moment (μB/f.u.): 0.000
Formation energy from raw total energies (eV per atom): 0.40
Space-group type: C2/m
DFT total energy (hartree per atom): -1.7801

VASP calculation (meta-GGA SCAN) on Si2RhPb at its PBEsol-relaxed geometry.

Unit cell a=5.6906 b=5.6906 c=5.6906 alpha=150.68 beta=126.51 gamma=62.17
Atoms (fractional coordinates):
Si (0.2072, 0.2072, 0.0000)
Si (0.7928, 0.7928, 0.0000)
Rh (0.0000, 0.5000, 0.5000)
Pb (0.5000, 0.0000, 0.5000)

Total moment (μB/f.u.): 0.000
Formation energy from raw total energies (eV per atom): 0.32
Space-group type: Immm
DFT total energy (hartree per atom): -1.1789

VASP calculation (meta-GGA SCAN) on SiRhPb2 at its PBEsol-relaxed geometry.

Unit cell a=3.2659 b=3.2659 c=7.6442 alpha=90.00 beta=90.00 gamma=90.00
Atoms (fractional coordinates):
Si (0.0000, 0.0000, 0.0000)
Rh (0.0000, 0.0000, 0.5000)
Pb (0.5000, 0.5000, 0.2732)
Pb (0.5000, 0.5000, 0.7268)

Total moment (μB/f.u.): 0.000
Formation energy from raw total energies (eV per atom): 0.43
Space-group type: P4/mmm
DFT total energy (hartree per atom): -1.7789

VASP calculation (meta-GGA SCAN) on Si2RhPb at its PBEsol-relaxed geometry.

Unit cell a=3.0660 b=3.0660 c=7.4318 alpha=90.00 beta=90.00 gamma=90.00
Atoms (fractional coordinates):
Si (0.0000, 0.0000, 0.1826)
Si (0.0000, 0.0000, 0.8174)
Rh (0.5000, 0.5000, 0.0000)
Pb (0.5000, 0.5000, 0.5000)

Total moment (μB/f.u.): 0.000
Formation energy from raw total energies (eV per atom): 0.03
Space-group type: P4/mmm
DFT total energy (hartree per atom): -1.1895

VASP calculation (meta-GGA SCAN) on Si2RhPb at its PBEsol-relaxed geometry.

Unit cell a=5.6284 b=5.6216 c=3.7801 alpha=70.46 beta=70.27 gamma=39.27
Atoms (fractional coordinates):
Si (0.0000, 0.5000, 0.5000)
Si (0.5000, 0.0000, 0.0000)
Rh (0.0000, 0.0000, 0.0000)
Pb (0.5000, 0.5000, 0.5000)

Total moment (μB/f.u.): 0.000
Formation energy from raw total energies (eV per atom): 0.44
Space-group type: Fmmm
DFT total energy (hartree per atom): -1.1743

VASP calculation (meta-GGA SCAN) on SiRhPb2W at its PBEsol-relaxed geometry.

Unit cell a=5.2635 b=5.2635 c=4.6939 alpha=90.00 beta=90.00 gamma=90.00
Atoms (fractional coordinates):
Si (0.0000, 0.0000, 0.0000)
Rh (0.5000, 0.5000, 0.0000)
Pb (0.0000, 0.5000, 0.5000)
Pb (0.5000, 0.0000, 0.5000)
W (0.5000, 0.5000, 0.5000)

Total moment (μB/f.u.): 0.001
Formation energy from raw total energies (eV per atom): 1.36
Space-group type: P4/mmm
Excess energy over the best structure of this formula in the dataset (eV/f.u.): 0.00
DFT total energy (hartree per atom): -1.8982

VASP calculation (meta-GGA SCAN) on SiRhPb2W at its PBEsol-relaxed geometry.

Unit cell a=5.0397 b=5.0397 c=4.5008 alpha=90.00 beta=90.00 gamma=90.00
Atoms (fractional coordinates):
Si (0.0000, 0.0000, 0.0000)
Rh (0.5000, 0.5000, 0.5000)
Pb (0.0000, 0.5000, 0.0000)
Pb (0.5000, 0.0000, 0.0000)
W (0.0000, 0.0000, 0.5000)

Total moment (μB/f.u.): 0.001
Formation energy from raw total energies (eV per atom): 1.61
Space-group type: P4/mmm
Excess energy over the best structure of this formula in the dataset (eV/f.u.): 1.27
DFT total energy (hartree per atom): -1.8888

VASP calculation (meta-GGA SCAN) on SrRhPb at its PBEsol-relaxed geometry.

Unit cell a=4.6087 b=4.6087 c=4.2860 alpha=90.00 beta=90.00 gamma=120.00
Atoms (fractional coordinates):
Sr (0.0000, 0.0000, 0.0000)
Rh (0.3333, 0.6667, 0.5000)
Pb (0.6667, 0.3333, 0.5000)

Energy of formation (eV/atom): -0.420
Total moment (μB/f.u.): 0.000
Space-group type: P-6m2
DFT total energy (hartree per atom): -1.6303

VASP calculation (meta-GGA SCAN) on Sr3Rh4Pb13 at its PBEsol-relaxed geometry.

Unit cell a=10.0688 b=10.0688 c=10.0688 alpha=90.00 beta=90.00 gamma=90.00
Atoms (fractional coordinates):
Sr (0.0000, 0.2500, 0.5000)
Sr (0.0000, 0.7500, 0.5000)
Sr (0.2500, 0.5000, 0.0000)
Sr (0.5000, 0.0000, 0.2500)
Sr (0.5000, 0.0000, 0.7500)
Sr (0.7500, 0.5000, 0.0000)
Rh (0.2500, 0.2500, 0.2500)
Rh (0.2500, 0.2500, 0.7500)
Rh (0.2500, 0.7500, 0.2500)
Rh (0.2500, 0.7500, 0.7500)
Rh (0.7500, 0.2500, 0.2500)
Rh (0.7500, 0.2500, 0.7500)
Rh (0.7500, 0.7500, 0.2500)
Rh (0.7500, 0.7500, 0.7500)
Pb (0.0000, 0.0000, 0.0000)
Pb (0.0000, 0.3024, 0.1554)
Pb (0.0000, 0.3024, 0.8446)
Pb (0.0000, 0.6976, 0.1554)
Pb (0.0000, 0.6976, 0.8446)
Pb (0.1554, 0.0000, 0.3024)
Pb (0.1554, 0.0000, 0.6976)
Pb (0.1976, 0.5000, 0.3446)
Pb (0.1976, 0.5000, 0.6554)
Pb (0.3024, 0.1554, 0.0000)
Pb (0.3024, 0.8446, 0.0000)
Pb (0.3446, 0.1976, 0.5000)
Pb (0.3446, 0.8024, 0.5000)
Pb (0.5000, 0.3446, 0.1976)
Pb (0.5000, 0.3446, 0.8024)
Pb (0.5000, 0.5000, 0.5000)
Pb (0.5000, 0.6554, 0.1976)
Pb (0.5000, 0.6554, 0.8024)
Pb (0.6554, 0.1976, 0.5000)
Pb (0.6554, 0.8024, 0.5000)
Pb (0.6976, 0.1554, 0.0000)
Pb (0.6976, 0.8446, 0.0000)
Pb (0.8024, 0.5000, 0.3446)
Pb (0.8024, 0.5000, 0.6554)
Pb (0.8446, 0.0000, 0.3024)
Pb (0.8446, 0.0000, 0.6976)

Energy of formation (eV/atom): -0.401
Total moment (μB/f.u.): 0.000
Space-group type: Pm-3n
DFT total energy (hartree per atom): -2.1959

VASP calculation (meta-GGA SCAN) on Ta2RhPb at its PBEsol-relaxed geometry.

Unit cell a=5.2692 b=5.2692 c=4.9853 alpha=108.79 beta=108.79 gamma=33.73
Atoms (fractional coordinates):
Ta (0.0000, 0.0000, 0.0000)
Ta (0.7483, 0.7483, 0.2616)
Rh (0.2770, 0.2770, 0.8179)
Pb (0.5274, 0.5274, 0.5242)

Energy of formation (eV/atom): 0.161
Total moment (μB/f.u.): 0.000
Space-group type: Cm
DFT total energy (hartree per atom): -2.2240

VASP calculation (meta-GGA SCAN) on TaRh2Pb at its PBEsol-relaxed geometry.

Unit cell a=4.1493 b=4.1493 c=3.8589 alpha=90.00 beta=90.00 gamma=90.00
Atoms (fractional coordinates):
Ta (0.0000, 0.0000, 0.0000)
Rh (0.0000, 0.5000, 0.5000)
Rh (0.5000, 0.0000, 0.5000)
Pb (0.5000, 0.5000, 0.0000)

Energy of formation (eV/atom): 0.034
Total moment (μB/f.u.): 0.000
Space-group type: P4/mmm
DFT total energy (hartree per atom): -1.9272

VASP calculation (meta-GGA SCAN) on TaRhPb2 at its PBEsol-relaxed geometry.

Unit cell a=3.1575 b=3.1575 c=7.8211 alpha=90.00 beta=90.00 gamma=90.00
Atoms (fractional coordinates):
Ta (0.0000, 0.0000, 0.0000)
Rh (0.0000, 0.0000, 0.5000)
Pb (0.5000, 0.5000, 0.2732)
Pb (0.5000, 0.5000, 0.7268)

Energy of formation (eV/atom): 0.487
Total moment (μB/f.u.): 0.000
Space-group type: P4/mmm
DFT total energy (hartree per atom): -2.2966

VASP calculation (meta-GGA SCAN) on Ta2RhPb at its PBEsol-relaxed geometry.

Unit cell a=5.0693 b=5.0693 c=2.9658 alpha=90.16 beta=90.16 gamma=111.88
Atoms (fractional coordinates):
Ta (0.0000, 0.5000, 0.0000)
Ta (0.5000, 0.0000, 0.0000)
Rh (0.0000, 0.0000, 0.5000)
Pb (0.5000, 0.5000, 0.5000)

Energy of formation (eV/atom): 0.176
Total moment (μB/f.u.): 0.000
Space-group type: C2/m
DFT total energy (hartree per atom): -2.2235

VASP calculation (meta-GGA SCAN) on Ta2RhPb at its PBEsol-relaxed geometry.

Unit cell a=9.2091 b=9.2091 c=9.2091 alpha=19.42 beta=19.42 gamma=19.42
Atoms (fractional coordinates):
Ta (0.0000, 0.0000, 0.0000)
Ta (0.2516, 0.2516, 0.2516)
Rh (0.5165, 0.5165, 0.5165)
Pb (0.7610, 0.7610, 0.7610)

Energy of formation (eV/atom): 0.153
Total moment (μB/f.u.): 0.000
Space-group type: R3m
DFT total energy (hartree per atom): -2.2243